# Sc2CrGeO PBE with a Hubbard U optimized geometry
data_Sc2CrGeO
_chemical_formula_sum 'Sc2 Cr1 Ge1 O1'
_symmetry_space_group_name_H-M 'P 4/m m m'
_symmetry_Int_Tables_number 123
_symmetry_space_group_name_Hall '-P 4 2'
_cell_length_a 5.0652
_cell_length_b 5.0652
_cell_length_c 4.7172
_cell_angle_alpha 90.00
_cell_angle_beta 90.00
_cell_angle_gamma 90.00
loop_
_atom_site_label
_atom_site_fract_x
_atom_site_fract_y
_atom_site_fract_z
Sc1 0.0000 0.5000 0.0000
Cr1 0.0000 0.0000 0.5000
Ge1 0.0000 0.0000 0.0000
O1 0.5000 0.5000 0.5000
# uncorrected energy	-5.62	eV per atom
# total magnetization	0.98	μB per atom